Computed, not measured: a geometry-optimized YVZnPb2 structure at the PBE level of DFT.

a = 5.273 Å, b = 5.191 Å, c = 5.273 Å
α = 90.00°, β = 90.00°, γ = 90.00°
Positions (direct):
Zn 0.500 0.500 0.500
Pb 0.500 0.000 0.000
Y 0.000 0.500 0.000
V 0.000 0.000 0.000
Pb 0.000 0.000 0.500

## Properties
formation energy from the elements = 0.392 eV per atom
magnetization = 0.149 μB/atom